First-principles (GGA-PBE) data for a geometry-optimized Ho4MgGa2Ru structure, as listed in Alexandria via LeMat-Bulk.

Cell: 5.037 5.037 8.712 Å, 73.20 73.20 60.00°
Fractional coordinates of all 8 atoms:
Ho 0.386 0.386 0.843
Ho 0.867 0.867 0.398
Ho 0.133 0.133 0.602
Ho 0.614 0.614 0.157
Mg 0.000 0.000 0.000
Ga 0.740 0.740 0.779
Ga 0.260 0.260 0.221
Ru 0.500 0.500 0.500

Computed properties:
The formation energy from the elements is -0.445 eV/atom.

First-principles (GGA-PBE) data for a geometry-optimized HoMgGaS4 structure, as listed in Alexandria via LeMat-Bulk.

Cell: 7.573 7.568 7.568 Å, 60.08 59.98 59.98°
Fractional coordinates of all 14 atoms:
Ho 0.000 0.000 0.000
Ho 0.000 0.500 0.500
Mg 0.500 0.000 0.500
Mg 0.000 0.000 0.500
Ga 0.631 0.619 0.119
Ga 0.369 0.381 0.881
S 0.747 0.763 0.743
S 0.253 0.757 0.737
S 0.747 0.243 0.263
S 0.253 0.237 0.257
S 0.250 0.753 0.253
S 0.743 0.753 0.253
S 0.257 0.247 0.747
S 0.750 0.247 0.747

Computed properties:
The energy relative to the elements, uncorrected is -1337 meV per atom.

M_tot, respectively: 0.00 0.00 μB per cell.